The following is a DFT calculation (PBE-GGA) of crystalline CaDyIr at its relaxed geometry.

```
CaDyIr
1.0
0.000 3.406 3.406
3.406 0.000 3.406
3.406 3.406 0.000
Ca Dy Ir
1 1 1
Direct
0.000 0.000 0.000 Ca
0.500 0.500 0.500 Dy
0.750 0.750 0.750 Ir
```

Computed properties:
SG	No. 216
relative energy among the computed polymorphs	48	meV per atom
crystal system	cubic
calculated formation energy	-0.509	eV/atom
theoretical density	8.30	g/cm³



The following is a DFT calculation (PBE-GGA) of crystalline ZnAgBr2 at its relaxed geometry.

```
ZnAgBr2
1.0
4.334 0.000 0.000
0.000 5.066 0.000
0.000 0.000 5.344
Zn Ag Br
1 1 2
Direct
0.000 0.000 0.000 Zn
0.500 0.500 0.439 Ag
0.000 0.500 0.103 Br
0.500 0.000 0.648 Br
```

Computed properties:
SG	No. 25
relative energy among the computed polymorphs	0	meV per atom
crystal system	orthorhombic
raw formation energy	-0.25	eV per atom
theoretical density	4.71	g/cm³



The following is a DFT calculation (PBE-GGA) of crystalline Li2YPt2 at its relaxed geometry.

```
Li2YPt2
1.0
3.926 -2.280 0.000
3.926 2.280 0.000
-2.554 0.000 4.565
Li Y Pt
2 1 2
Direct
0.085 0.085 0.248 Li
0.915 0.915 0.752 Li
0.500 0.500 0.500 Y
0.282 0.282 0.850 Pt
0.718 0.718 0.150 Pt
```

Computed properties:
SG	No. 12
relative energy among the computed polymorphs	33	meV per atom
crystal system	monoclinic
calculated formation energy	-0.731	eV/atom
theoretical density	10.02	g/cm³



The following is a DFT calculation (PBE-GGA) of crystalline Li2SnPbAu4 at its relaxed geometry.

```
Li2SnPbAu4
1.0
2.379 1.373 8.027
-2.379 1.373 8.027
0.000 -2.747 8.027
Li Sn Pb Au
2 1 1 4
Direct
0.250 0.250 0.250 Li
0.750 0.750 0.750 Li
0.000 0.000 0.000 Sn
0.500 0.500 0.500 Pb
0.119 0.119 0.119 Au
0.371 0.371 0.371 Au
0.629 0.629 0.629 Au
0.881 0.881 0.881 Au
```

Computed properties:
SG	No. 166
crystal system	trigonal
calculated formation energy	-0.336	eV/atom
theoretical density	11.90	g/cm³



The following is a DFT calculation (PBE-GGA) of crystalline PmDyTe6 at its relaxed geometry.

```
PmDyTe6
1.0
4.343 0.000 0.000
0.000 2.171 13.582
0.000 -2.171 13.582
Pm Dy Te
1 1 6
Direct
0.000 0.000 0.000 Pm
0.500 0.346 0.346 Dy
0.000 0.252 0.252 Te
0.000 0.596 0.596 Te
0.000 0.879 0.879 Te
0.500 0.096 0.096 Te
0.500 0.464 0.464 Te
0.500 0.752 0.752 Te
```

Computed properties:
SG	No. 38
crystal system	orthorhombic
raw formation energy	-0.95	eV per atom
theoretical density	6.96	g/cm³



The following is a DFT calculation (PBE-GGA) of crystalline K2Ce2Te5 at its relaxed geometry.

```
K2Ce2Te5
1.0
8.682 -4.290 0.000
8.682 4.290 0.000
0.000 0.000 8.596
K Ce Te
4 4 10
Direct
0.204 0.204 0.000 K
0.296 0.296 0.500 K
0.704 0.704 0.500 K
0.796 0.796 0.000 K
0.159 0.841 0.659 Ce
0.341 0.659 0.159 Ce
0.659 0.341 0.841 Ce
0.841 0.159 0.341 Ce
0.000 0.000 0.000 Te
0.029 0.738 0.355 Te
0.238 0.529 0.855 Te
0.262 0.971 0.355 Te
0.471 0.762 0.855 Te
0.500 0.500 0.500 Te
0.529 0.238 0.145 Te
0.738 0.029 0.645 Te
0.762 0.471 0.145 Te
0.971 0.262 0.645 Te
```

Computed properties:
SG	No. 64
crystal system	orthorhombic
raw formation energy	-1.19	eV per atom
theoretical density	5.17	g/cm³



What did the sixth record say?
The following is a DFT calculation (PBE-GGA) of crystalline K2Ce2Te5 at its relaxed geometry.

```
K2Ce2Te5
1.0
8.682 -4.290 0.000
8.682 4.290 0.000
0.000 0.000 8.596
K Ce Te
4 4 10
Direct
0.204 0.204 0.000 K
0.296 0.296 0.500 K
0.704 0.704 0.500 K
0.796 0.796 0.000 K
0.159 0.841 0.659 Ce
0.341 0.659 0.159 Ce
0.659 0.341 0.841 Ce
0.841 0.159 0.341 Ce
0.000 0.000 0.000 Te
0.029 0.738 0.355 Te
0.238 0.529 0.855 Te
0.262 0.971 0.355 Te
0.471 0.762 0.855 Te
0.500 0.500 0.500 Te
0.529 0.238 0.145 Te
0.738 0.029 0.645 Te
0.762 0.471 0.145 Te
0.971 0.262 0.645 Te
```

Computed properties:
SG	No. 64
crystal system	orthorhombic
raw formation energy	-1.19	eV per atom
theoretical density	5.17	g/cm³



Look up the theoretical density of the fifth one. 6.96 g/cm³



The highest theoretical density belongs to which entry? Li2SnPbAu4